[1]
Entry from Alexandria via LeMat-Bulk: an optimized crystal structure of Cs3TmPu2Se6 (PBE).

The structure in extended XYZ format:
```
12
Lattice="3.7271 -6.4555 0.0000 3.7271 6.4555 0.0000 -2.4852 0.0000 8.3506" Properties=species:S:1:pos:R:3 pbc="T T T"
Cs 0.0000 0.0000 0.0000
Cs 3.7271 2.1603 0.0000
Cs 3.7271 -2.1603 0.0000
Tm 2.4845 0.0000 4.1753
Pu 2.4845 4.3042 4.1753
Pu 2.4845 -4.3042 4.1753
Se 1.2633 2.1151 2.6382
Se 0.0421 0.0000 5.7145
Se 1.2633 -2.1151 2.6382
Se 3.7057 2.1151 5.7124
Se 4.9269 0.0000 2.6361
Se 3.7057 -2.1151 5.7124
```

## Properties
energy relative to the elements, uncorrected: -1.5167 eV/atom
magnetic moment: 10.00 μB/cell

[2]
Entry from Alexandria via LeMat-Bulk: an optimized crystal structure of TiNb6Re2 (PBE).

The structure in extended XYZ format:
```
18
Lattice="-4.1298 4.3659 4.5665 4.1298 -4.3659 4.5665 4.1298 4.3659 -4.5665" Properties=species:S:1:pos:R:3 pbc="T T T"
Ti 0.0000 0.0000 0.0000
Ti 0.0000 0.0000 4.5665
Nb 4.1298 -2.0806 2.9041
Nb 2.4920 1.8070 0.0000
Nb 5.7676 1.8070 0.0000
Nb 2.5088 4.3659 -2.2529
Nb 1.6210 0.0000 2.3136
Nb 0.0000 2.2853 1.6624
Nb 4.1298 2.0806 2.9041
Nb 2.5088 4.3659 2.2529
Nb 1.6210 0.0000 6.8193
Nb -1.6378 2.5589 4.5665
Nb 1.6378 2.5589 4.5665
Nb 0.0000 6.4465 1.6624
Re 4.1298 0.0000 1.3752
Re 1.2895 4.3659 0.0000
Re 2.8403 0.0000 4.5665
Re 0.0000 4.3659 3.1913
```

## Properties
ΔE to the lowest computed polymorph: 8.45 kcal/mol of atoms
formation energy: 174 meV per atom
magnetic moment: 0.00 μB/cell

Values of ρ, in order: 6.32; 9.86, all in g/cm3.